Entry 1:
DFT (GGA-PBE) results for an optimized crystal structure of TbMgP2Ir5.

Values from the calculation:
Energy relative to the elements = -391 meV per atom
Fermi-level density of states = 5.681 states/eV per cell
Volume = 18.57 Å³/atom

Lattice parameters (Å, degrees): 3.9826 3.9826 10.5348 90.00 90.00 90.00
With the nearest neighbours (Å) after each atom.
Space group P4/mmm (No. 123)
Symmetry-distinct sites (fractional):
Tb1 0.0000 0.0000 0.0000 x1  4 Ir 2.82
Mg1 0.0000 0.0000 0.5000 x1  8 Ir 2.73
P1 0.5000 0.5000 0.2166 x2  5 Ir 2.28
Ir1 0.0000 0.5000 0.3224 x4  2 P 2.28
Ir2 0.5000 0.5000 0.0000 x1  2 P 2.28


Entry 2:
DFT (GGA-PBE) results for an optimized crystal structure of IrC2.

Values from the calculation:
Energy relative to the elements = 872 meV per atom
Fermi-level density of states = 1.490 states/eV per cell
Energy relative to the lowest polymorph listed for this composition = 0.2821 eV/atom
Volume = 10.03 Å³/atom

Lattice parameters (Å, degrees): 2.8387 3.1137 4.1404 89.97 69.98 62.95
With the nearest neighbours (Å) after each atom.
Space group P-1 (No. 2)
Symmetry-distinct sites (fractional):
Ir1 0.0000 0.0000 0.0000 x1  6 C 2.12-2.15
C1 0.1193 0.4446 0.3205 x2  1 C 1.37


Entry 3:
DFT (GGA-PBE) results for an optimized crystal structure of CdCuCl.

Values from the calculation:
Fermi-level density of states = 1.846 states/eV per cell
Raw formation energy = -0.089 eV per atom
Energy relative to the lowest polymorph listed for this composition = 0.1894 eV/atom
Volume = 19.64 Å³/atom

Lattice parameters (Å, degrees): 3.1925 3.1925 11.5629 90.00 90.00 90.00
With the nearest neighbours (Å) after each atom.
Space group I4mm (No. 107)
Symmetry-distinct sites (fractional):
Cd1 0.0000 0.0000 0.0000 x2  4 Cu 2.80, 1 Cl 3.09
Cu1 0.0000 0.0000 0.6438 x2  4 Cl 2.67, 4 Cd 2.80
Cl1 0.0000 0.0000 0.2672 x2  4 Cu 2.67


Entry 4:
DFT (GGA-PBE) results for an optimized crystal structure of GeBiTeN2.

Values from the calculation:
Fermi-level density of states = 2.576 states/eV per cell
Raw formation energy = 1.283 eV per atom
Energy relative to the lowest polymorph listed for this composition = 0.0000 eV/atom
Volume = 19.21 Å³/atom

Lattice parameters (Å, degrees): 4.1820 4.1820 5.4924 90.00 90.00 90.00
With the nearest neighbours (Å) after each atom.
Space group P4/mmm (No. 123)
Symmetry-distinct sites (fractional):
Ge1 0.0000 0.0000 0.0000 x1  4 N 2.09
Bi1 0.5000 0.5000 0.5000 x1  4 Te 2.96
Te1 0.0000 0.0000 0.5000 x1  2 Ge 2.75, 4 Bi 2.96
N1 0.0000 0.5000 0.0000 x2  2 Ge 2.09


Entry 5:
DFT (GGA-PBE) results for an optimized crystal structure of Ac2SbMo.

Values from the calculation:
Fermi-level density of states = 4.320 states/eV per cell
Raw formation energy = 0.086 eV per atom
Energy relative to the lowest polymorph listed for this composition = 0.0000 eV/atom
Volume = 30.41 Å³/atom

Lattice parameters (Å, degrees): 5.3248 5.3248 4.2902 90.00 90.00 90.00
With the nearest neighbours (Å) after each atom.
Space group P4/mmm (No. 123)
Symmetry-distinct sites (fractional):
Ac1 0.0000 0.5000 0.0000 x2  4 Mo 3.42, 4 Sb 3.42, 4 Ac 3.77
Sb1 0.0000 0.0000 0.5000 x1  8 Ac 3.42, 4 Mo 3.77
Mo1 0.5000 0.5000 0.5000 x1  8 Ac 3.42, 4 Sb 3.77


Entry 6:
DFT (GGA-PBE) results for an optimized crystal structure of NaNbCoB2.

Values from the calculation:
Energy relative to the elements = 2161 meV per atom
Fermi-level density of states = 3.228 states/eV per cell
Volume = 13.18 Å³/atom

Lattice parameters (Å, degrees): 4.0553 4.0553 4.0063 90.00 90.00 90.00
With the nearest neighbours (Å) after each atom.
Space group P4/mmm (No. 123)
Symmetry-distinct sites (fractional):
Na1 0.0000 0.0000 0.0000 x1  2 Co 2.00, 4 B 2.03
Nb1 0.5000 0.5000 0.5000 x1  8 B 2.85, 4 Co 2.87
Co1 0.0000 0.0000 0.5000 x1  2 Na 2.00
B1 0.0000 0.5000 0.0000 x2  2 Na 2.03


Entry 7:
DFT (GGA-PBE) results for an optimized crystal structure of AlFeCl2.

Values from the calculation:
Fermi-level density of states = 2.863 states/eV per cell
Raw formation energy = -0.094 eV per atom
Energy relative to the lowest polymorph listed for this composition = 0.3800 eV/atom
Volume = 22.78 Å³/atom

Lattice parameters (Å, degrees): 3.2270 3.2024 8.8167 90.00 90.45 90.00
With the nearest neighbours (Å) after each atom.
Space group P2/m (No. 10)
Symmetry-distinct sites (fractional):
Al1 0.0000 0.0000 0.0000 x1  4 Cl 3.13, 4 Al 3.20-3.23
Fe1 0.0000 0.0000 0.5000 x1  4 Cl 2.35
Cl1 0.0092 0.5000 0.3055 x2  2 Fe 2.35


Entry 8:
DFT (GGA-PBE) results for an optimized crystal structure of B2PC.

Values from the calculation:
Energy relative to the elements = 486 meV per atom
Fermi-level density of states = 0.993 states/eV per cell
Energy relative to the lowest polymorph listed for this composition = 0.4100 eV/atom
Volume = 8.94 Å³/atom

Lattice parameters (Å, degrees): 5.1831 2.5644 5.4440 90.00 98.62 90.00
With the nearest neighbours (Å) after each atom.
Space group Cm (No. 8)
Symmetry-distinct sites (fractional):
B1 0.0000 0.0000 0.0000 x2  2 C 1.59
B2 0.1419 0.0000 0.7204 x2  3 C 1.66-1.74, 1 B 1.79
P1 0.0661 0.0000 0.3456 x2  2 B 1.86-2.02
C1 0.4590 0.0000 0.8264 x2  5 B 1.59-1.74


- Fermi-level density of states of number 6 (NaNbCoB2)?
  3.228 states/eV per cell


- Which value of Fermi-level density of states does entry 7 give?
  2.863 states/eV per cell


- Look up the Fermi-level density of states of the seventh one.
  2.863 states/eV per cell